KPrGdFeO6: optimized geometry, PBE+U.

Properties
The spin magnetization is 1.01 μB per atom. As for the energy: -7.62 eV per atom.

Cell lengths 5.767, 5.767, 5.767 Å; angles 60.00, 60.00, 60.00 degrees
Fractional coordinates of all 10 atoms:
K 0.000 0.000 0.000
Pr 0.500 0.500 0.500
Gd 0.750 0.750 0.750
Fe 0.250 0.250 0.250
O 0.018 0.018 0.482
O 0.018 0.482 0.018
O 0.018 0.482 0.482
O 0.482 0.018 0.018
O 0.482 0.018 0.482
O 0.482 0.482 0.018